# Cu3Rh2

An optimized crystal structure of Cu3Rh2 (PBE, the Alexandria database).

POSCAR file:
```
Cu3Rh2
1.0
-2.0972 0.4271 -1.5958
-2.3573 -1.1184 0.5655
-4.1315 8.2549 5.4060
Cu Rh
3 2
Direct
0.1029 0.1029 0.6912
0.5000 0.5000 0.5000
0.8971 0.8971 0.3088
0.2984 0.2984 0.1047
0.7016 0.7016 0.8953
```

Properties
distance to the lowest polymorph of the same formula: 0 meV/atom
space group: R-3m (166)
formation energy: 0.035 eV per atom